Arrangement i

The following is a PBE-GGA calculation of a geometry-optimized Pa2SnW structure, from Alexandria.

abc: 4.466 4.466 4.457
angles: 90.00 90.00 90.00
Fractional coordinates of all 4 atoms:
Pa (0.000, 0.500, 0.000)
Pa (0.500, 0.000, 0.000)
Sn (0.000, 0.000, 0.500)
W (0.500, 0.500, 0.500)


Arrangement ii

The following is a PBE-GGA calculation of a geometry-optimized Pa2SnW structure, from Alexandria.

abc: 5.107 5.107 5.107
angles: 60.00 60.00 60.00
Fractional coordinates of all 4 atoms:
Pa (0.250, 0.250, 0.250)
Pa (0.750, 0.750, 0.750)
Sn (0.000, 0.000, 0.000)
W (0.500, 0.500, 0.500)


Which of them is most stable? Easy: arrangement i.


Arrangement i

The following is a PBE-GGA calculation of a geometry-optimized YPaSn2 structure, from Alexandria.

abc: 5.880 5.880 5.880
angles: 50.19 50.19 50.19
Fractional coordinates of all 4 atoms:
Y (0.000, 0.000, 0.000)
Pa (0.500, 0.500, 0.500)
Sn (0.253, 0.253, 0.253)
Sn (0.747, 0.747, 0.747)


Arrangement ii

The following is a PBE-GGA calculation of a geometry-optimized YPaSn2 structure, from Alexandria.

abc: 4.906 4.906 4.356
angles: 90.00 90.00 90.00
Fractional coordinates of all 4 atoms:
Y (0.000, 0.000, 0.000)
Pa (0.500, 0.500, 0.000)
Sn (0.000, 0.500, 0.500)
Sn (0.500, 0.000, 0.500)


Which of them is most stable? Easy: arrangement ii.


Arrangement i

The following is a PBE-GGA calculation of a geometry-optimized Pa2ZnSn structure, from Alexandria.

abc: 4.420 4.420 4.690
angles: 90.00 90.00 90.00
Fractional coordinates of all 4 atoms:
Pa (0.000, 0.500, 0.000)
Pa (0.500, 0.000, 0.000)
Zn (0.000, 0.000, 0.500)
Sn (0.500, 0.500, 0.500)


Arrangement ii

The following is a PBE-GGA calculation of a geometry-optimized Pa2ZnSn structure, from Alexandria.

abc: 3.981 3.981 6.077
angles: 90.00 90.00 90.00
Fractional coordinates of all 4 atoms:
Pa (0.000, 0.000, 0.233)
Pa (0.000, 0.000, 0.767)
Zn (0.500, 0.500, 0.000)
Sn (0.500, 0.500, 0.500)


Arrangement iii

The following is a PBE-GGA calculation of a geometry-optimized Pa2ZnSn structure, from Alexandria.

abc: 5.177 5.177 5.177
angles: 60.00 60.00 60.00
Fractional coordinates of all 4 atoms:
Pa (0.250, 0.250, 0.250)
Pa (0.750, 0.750, 0.750)
Zn (0.000, 0.000, 0.000)
Sn (0.500, 0.500, 0.500)


Which of them is most stable? Easy: arrangement i.


Arrangement i

The following is a PBE-GGA calculation of a geometry-optimized ZrPa2Sn structure, from Alexandria.

abc: 4.057 4.057 6.305
angles: 90.00 90.00 90.00
Fractional coordinates of all 4 atoms:
Zr (0.000, 0.000, 0.000)
Pa (0.500, 0.500, 0.281)
Pa (0.500, 0.500, 0.719)
Sn (0.000, 0.000, 0.500)


Arrangement ii

The following is a PBE-GGA calculation of a geometry-optimized ZrPa2Sn structure, from Alexandria.

abc: 5.234 5.234 5.234
angles: 60.00 60.00 60.00
Fractional coordinates of all 4 atoms:
Zr (0.000, 0.000, 0.000)
Pa (0.250, 0.250, 0.250)
Pa (0.750, 0.750, 0.750)
Sn (0.500, 0.500, 0.500)


Which of them is most stable? Easy: arrangement i.


Arrangement i

The following is a PBE-GGA calculation of a geometry-optimized SrPaTe2 structure, from Alexandria.

abc: 3.860 3.860 7.923
angles: 90.00 90.00 90.00
Fractional coordinates of all 4 atoms:
Sr (0.000, 0.000, 0.000)
Pa (0.000, 0.000, 0.500)
Te (0.500, 0.500, 0.273)
Te (0.500, 0.500, 0.727)


Arrangement ii

The following is a PBE-GGA calculation of a geometry-optimized SrPaTe2 structure, from Alexandria.

abc: 8.402 8.402 8.402
angles: 29.99 29.99 29.99
Fractional coordinates of all 4 atoms:
Sr (0.000, 0.000, 0.000)
Pa (0.500, 0.500, 0.500)
Te (0.246, 0.246, 0.246)
Te (0.754, 0.754, 0.754)


Which of them is most stable? Easy: arrangement ii.


Arrangement i

The following is a PBE-GGA calculation of a geometry-optimized Sr2PaTe5 structure, from Alexandria.

abc: 8.642 8.642 14.128
angles: 90.00 90.00 137.21
Fractional coordinates of all 16 atoms:
Sr (0.161, 0.839, 0.570)
Sr (0.161, 0.839, 0.930)
Sr (0.839, 0.161, 0.070)
Sr (0.839, 0.161, 0.430)
Pa (0.187, 0.813, 0.250)
Pa (0.813, 0.187, 0.750)
Te (0.035, 0.965, 0.130)
Te (0.035, 0.965, 0.370)
Te (0.300, 0.700, 0.750)
Te (0.309, 0.691, 0.093)
Te (0.309, 0.691, 0.407)
Te (0.691, 0.309, 0.593)
Te (0.691, 0.309, 0.907)
Te (0.700, 0.300, 0.250)
Te (0.965, 0.035, 0.630)
Te (0.965, 0.035, 0.870)


Arrangement ii

The following is a PBE-GGA calculation of a geometry-optimized Sr2PaTe5 structure, from Alexandria.

abc: 7.687 7.687 5.655
angles: 90.00 90.00 90.00
Fractional coordinates of all 8 atoms:
Sr (0.000, 0.500, 0.000)
Sr (0.500, 0.000, 0.000)
Pa (0.000, 0.000, 0.500)
Te (0.000, 0.000, 0.000)
Te (0.273, 0.273, 0.500)
Te (0.273, 0.727, 0.500)
Te (0.727, 0.273, 0.500)
Te (0.727, 0.727, 0.500)


Which of them is most stable? Easy: arrangement i.


Arrangement i

The following is a PBE-GGA calculation of a geometry-optimized PaTa2 structure, from Alexandria.

abc: 5.842 5.842 5.842
angles: 146.00 146.00 48.85
Fractional coordinates of all 3 atoms:
Pa (0.000, 0.000, 0.000)
Ta (0.325, 0.325, 0.000)
Ta (0.675, 0.675, 0.000)


Arrangement ii

The following is a PBE-GGA calculation of a geometry-optimized PaTa2 structure, from Alexandria.

abc: 5.665 5.665 5.665
angles: 60.00 60.00 60.00
Fractional coordinates of all 6 atoms:
Pa (0.125, 0.125, 0.125)
Pa (0.875, 0.875, 0.875)
Ta (0.000, 0.500, 0.500)
Ta (0.500, 0.000, 0.500)
Ta (0.500, 0.500, 0.000)
Ta (0.500, 0.500, 0.500)


Which of them is most stable? Easy: arrangement ii.


Arrangement i

The following is a PBE-GGA calculation of a geometry-optimized PaTaTc2 structure, from Alexandria.

abc: 10.088 10.088 10.088
angles: 16.81 16.81 16.81
Fractional coordinates of all 4 atoms:
Pa (0.000, 0.000, 0.000)
Ta (0.500, 0.500, 0.500)
Tc (0.418, 0.418, 0.418)
Tc (0.582, 0.582, 0.582)


Arrangement ii

The following is a PBE-GGA calculation of a geometry-optimized PaTaTc2 structure, from Alexandria.

abc: 4.712 4.712 3.282
angles: 90.00 90.00 90.00
Fractional coordinates of all 4 atoms:
Pa (0.000, 0.000, 0.000)
Ta (0.500, 0.500, 0.000)
Tc (0.000, 0.500, 0.500)
Tc (0.500, 0.000, 0.500)


Arrangement iii

The following is a PBE-GGA calculation of a geometry-optimized PaTaTc2 structure, from Alexandria.

abc: 4.687 4.687 4.687
angles: 60.00 60.00 60.00
Fractional coordinates of all 4 atoms:
Pa (0.000, 0.000, 0.000)
Ta (0.500, 0.500, 0.500)
Tc (0.250, 0.250, 0.250)
Tc (0.750, 0.750, 0.750)


Which of them is most stable? Easy: arrangement ii.